[1]
KPtCl after structural relaxation, computed with PBE.

```
KPtCl
1.0
5.811 -1.874 0.000
5.811 1.874 0.000
-1.211 0.000 7.654
K Pt Cl
2 2 2
Direct
0.000 0.000 0.000
0.649 0.649 0.451
0.335 0.335 0.240
0.914 0.914 0.451
0.457 0.457 0.670
0.736 0.736 0.054
```

Values from the calculation:
Energy relative to the lowest polymorph listed for this composition, eV/f.u.: 0.16
Fermi-level density of states, states/eV/f.u.: 0.00
SG: Cm (8)

=====

[2]
K2PtCl after structural relaxation, computed with PBE.

```
K2PtCl
1.0
-4.306 4.306 3.043
4.306 -4.306 3.043
4.306 4.306 -3.043
K Pt Cl
4 2 2
Direct
0.107 0.625 0.982
0.375 0.357 0.482
0.643 0.125 0.018
0.875 0.893 0.518
0.250 0.750 0.500
0.500 0.500 0.000
0.000 0.000 0.000
0.750 0.250 0.500
```

Values from the calculation:
Energy relative to the lowest polymorph listed for this composition, eV/f.u.: 1.23
Fermi-level density of states, states/eV/f.u.: 1.54
SG: I-42d (122)

=====

[3]
KPtCl after structural relaxation, computed with PBE.

```
KPtCl
1.0
4.104 0.000 0.000
1.012 3.979 0.000
0.937 0.835 9.794
K Pt Cl
2 2 2
Direct
0.000 0.000 0.000
0.301 0.314 0.614
0.052 0.040 0.347
0.665 0.653 0.341
0.386 0.380 0.186
0.650 0.657 0.812
```

Values from the calculation:
Energy relative to the lowest polymorph listed for this composition, eV/f.u.: 0.19
Fermi-level density of states, states/eV/f.u.: 0.00
SG: P1 (1)

=====

Which value of energy relative to the lowest polymorph listed for this composition does entry 1 give? 0.16 eV/f.u.